(1)
SrLaBeTe2 | PBE-GGA | relaxed

Calculated values
- Formation energy without anion corrections: -0.354 eV per atom
- Total magnetic moment: 0.560 μB per cell
- Final energy: -3.677 eV per atom
- D(E_F): 3.20 states/eV per cell

abc: 5.505 5.505 4.914
angles: 90.00 90.00 90.00
Space group P4/mmm (No. 123)
Unique sites:
Sr: 0.000 0.000 0.000
La: 0.500 0.500 0.000
Be: 0.500 0.500 0.500
Te: 0.000 0.500 0.500

=====

(2)
ZnPPt | PBE-GGA | relaxed

Calculated values
- Total magnetic moment: 0.000 μB per cell
- Final energy: -4.409 eV per atom
- Energy of formation from the pure elements: -0.17 eV/atom
- Energy relative to the lowest polymorph listed for this composition: 155 meV per atom
- D(E_F): 0.72 states/eV per cell

abc: 3.2060 3.2060 5.4810
angles: 90.00 90.00 120.00
Space group P3m1 (No. 156)
Unique sites:
Zn: 0.0000 0.0000 0.0000
P: 0.6667 0.3333 0.3633
Pt: 0.3333 0.6667 0.6334

=====

What is the formula in the first record? SrLaBeTe2